1:
Compound: AsPbCl2
Source: Alexandria via LeMat-Bulk
Functional: PBE-GGA
Structure: relaxed

Lattice parameters (Å, degrees): 5.572 5.572 6.545 77.16 77.16 36.26
Element x y z (fractional)
Pb1 0.538 0.538 0.594
As1 0.166 0.166 0.220
Cl1 0.000 0.000 0.063
Cl2 0.797 0.797 0.623



2:
Compound: AsPbCl2
Source: Alexandria via LeMat-Bulk
Functional: PBE-GGA
Structure: relaxed

Lattice parameters (Å, degrees): 4.692 4.692 10.028 76.47 76.47 90.00
Element x y z (fractional)
Pb1 0.000 0.000 0.000
Pb2 0.750 0.250 0.500
As1 0.500 0.500 0.000
As2 0.250 0.750 0.500
Cl1 0.602 0.125 0.250
Cl2 0.148 0.625 0.250
Cl3 0.375 0.398 0.750
Cl4 0.875 0.852 0.750



Which of them is the least stable? Correct choice: 2.



1:
Compound: AsPbCl2
Source: Alexandria via LeMat-Bulk
Functional: PBE-GGA
Structure: relaxed

Lattice parameters (Å, degrees): 3.505 3.505 9.370 90.00 90.00 121.34
Element x y z (fractional)
Pb1 0.500 0.500 0.250
As1 0.500 0.500 0.750
Cl1 0.000 0.000 0.965
Cl2 0.000 0.000 0.535



2:
Compound: AsPbCl2
Source: Alexandria via LeMat-Bulk
Functional: PBE-GGA
Structure: relaxed

Lattice parameters (Å, degrees): 4.268 4.271 7.575 90.00 90.00 90.00
Element x y z (fractional)
Pb1 0.000 0.000 0.636
As1 0.500 0.500 0.595
Cl1 0.000 0.000 0.965
Cl2 0.500 0.500 0.305



Which of them is the least stable? Correct choice: 1.



1:
Compound: AsPb2Cl
Source: Alexandria via LeMat-Bulk
Functional: PBE-GGA
Structure: relaxed

Lattice parameters (Å, degrees): 3.651 3.750 8.646 64.69 90.00 90.00
Element x y z (fractional)
Pb1 0.000 0.972 0.021
Pb2 0.000 0.528 0.479
As1 0.500 0.250 0.250
Cl1 0.500 0.750 0.750



2:
Compound: AsPb2Cl
Source: Alexandria via LeMat-Bulk
Functional: PBE-GGA
Structure: relaxed

Lattice parameters (Å, degrees): 5.888 3.373 5.750 86.61 90.00 90.00
Element x y z (fractional)
Pb1 0.000 0.887 0.852
Pb2 0.500 0.192 0.375
As1 0.000 0.466 0.398
Cl1 0.500 0.955 0.875



3:
Compound: AsPb2Cl
Source: Alexandria via LeMat-Bulk
Functional: PBE-GGA
Structure: relaxed

Lattice parameters (Å, degrees): 5.582 5.582 3.387 89.89 89.89 90.06
Element x y z (fractional)
Pb1 0.000 0.000 0.000
Pb2 0.500 0.500 0.000
As1 0.500 0.000 0.500
Cl1 0.000 0.500 0.500



Which of them is the least stable? Correct choice: 3.



1:
Compound: AsPb2Cl
Source: Alexandria via LeMat-Bulk
Functional: PBE-GGA
Structure: relaxed

Lattice parameters (Å, degrees): 5.280 5.280 5.280 60.00 60.00 60.00
Element x y z (fractional)
Pb1 0.000 0.000 0.000
Pb2 0.750 0.750 0.750
As1 0.500 0.500 0.500
Cl1 0.250 0.250 0.250



2:
Compound: AsPb2Cl
Source: Alexandria via LeMat-Bulk
Functional: PBE-GGA
Structure: relaxed

Lattice parameters (Å, degrees): 6.163 6.163 12.884 90.02 90.00 90.00
Element x y z (fractional)
As1 0.249 0.500 0.625
As2 0.751 0.500 0.375
As3 0.249 0.000 0.875
As4 0.751 0.000 0.125
Pb1 0.750 0.000 0.902
Pb2 0.250 0.000 0.098
Pb3 0.750 0.500 0.598
Pb4 0.250 0.500 0.402
Pb5 0.751 0.500 0.152
Pb6 0.249 0.500 0.848
Pb7 0.751 0.000 0.348
Pb8 0.249 0.000 0.652
Cl1 0.251 0.000 0.375
Cl2 0.749 0.000 0.625
Cl3 0.251 0.500 0.125
Cl4 0.749 0.500 0.875



Which of them is the least stable? Correct choice: 1.